Record 1
# Al2AgGe2

A relaxed Al2AgGe2 crystal (PBE, Alexandria).

Properties
For the relative energy among the computed polymorphs, the calculation gives 20 meV per atom. The calculated formation energy is 99 kJ/mol of formula units. The calculated volume comes out at 98.94 Å³ per cell. The value obtained for the total magnetic moment is 0.00 μB/cell. As for the space-group type: I4/mmm.

The structure in POSCAR format:
```
Al2AgGe2
1.0
-1.497 -3.250 2.516
0.845 -2.864 -3.196
4.429 -3.776 1.561
Al Ag Ge
2 1 2
Direct
0.750 0.250 0.500
0.250 0.750 0.500
0.000 0.000 0.000
0.383 0.383 0.234
0.617 0.617 0.766
```



Record 2
# Hf2AlAgGe

A relaxed Hf2AlAgGe crystal (PBE, Alexandria).

Properties
The calculated formation energy is 230 kJ/mol of formula units. The calculated volume comes out at 117.65 Å³ per cell. The value obtained for the total magnetic moment is 0.00 μB/cell. As for the space-group type: P4/mmm.

The structure in POSCAR format:
```
Hf2AlAgGe
1.0
4.992 0.000 0.000
0.000 4.720 0.000
0.000 0.000 4.992
Ge Hf Al Ag
1 2 1 1
Direct
0.000 0.000 0.000
0.500 0.000 0.000
0.000 0.000 0.500
0.500 0.500 0.500
0.000 0.500 0.000
```



Record 3
# La2AlAg3Ge4

A relaxed La2AlAg3Ge4 crystal (PBE, Alexandria).

Properties
The calculated formation energy is -398 kJ/mol of formula units. The calculated volume comes out at 214.19 Å³ per cell. The value obtained for the total magnetic moment is 0.00 μB/cell. As for the space-group type: P-4m2.

The structure in POSCAR format:
```
La2AlAg3Ge4
1.0
-1.551 1.015 3.993
2.872 -2.793 1.826
7.416 8.155 0.808
La Ge Al Ag
2 4 1 3
Direct
0.000 0.500 0.751
0.500 0.000 0.249
0.000 0.000 0.000
0.500 0.500 0.000
0.500 0.000 0.637
0.000 0.500 0.363
0.500 0.500 0.500
0.500 0.000 0.866
0.000 0.000 0.500
0.000 0.500 0.134
```



Record 4
# MgAlAgGe

A relaxed MgAlAgGe crystal (PBE, Alexandria).

Properties
The calculated formation energy is 1 kJ/mol of formula units. The calculated volume comes out at 73.28 Å³ per cell. The value obtained for the total magnetic moment is 0.00 μB/cell. As for the space-group type: F-43m.

The structure in POSCAR format:
```
MgAlAgGe
1.0
4.697 0.000 0.000
2.349 4.068 0.000
2.349 1.356 3.835
Mg Ge Al Ag
1 1 1 1
Direct
0.500 0.500 0.500
0.250 0.250 0.250
0.000 0.000 0.000
0.750 0.750 0.750
```



Record 5
# Na2Al4AgGe3

A relaxed Na2Al4AgGe3 crystal (PBE, Alexandria).

Properties
The calculated formation energy is -72 kJ/mol of formula units. The calculated volume comes out at 207.98 Å³ per cell. The value obtained for the total magnetic moment is 0.00 μB/cell. As for the space-group type: P-4m2.

The structure in POSCAR format:
```
Na2Al4AgGe3
1.0
-0.381 -3.314 -2.843
3.953 -1.473 1.187
-4.580 -6.081 7.702
Ge Al Na Ag
3 4 2 1
Direct
0.000 0.500 0.133
0.500 0.000 0.867
0.000 0.000 0.500
0.000 0.000 0.000
0.500 0.000 0.634
0.500 0.500 0.000
0.000 0.500 0.366
0.000 0.500 0.740
0.500 0.000 0.260
0.500 0.500 0.500
```



Record 6
# NaAlAgGe

A relaxed NaAlAgGe crystal (PBE, Alexandria).

Properties
The calculated formation energy is 26 kJ/mol of formula units. The calculated volume comes out at 75.51 Å³ per cell. The value obtained for the total magnetic moment is 0.00 μB/cell. As for the space-group type: F-43m.

The structure in POSCAR format:
```
NaAlAgGe
1.0
-2.051 -0.508 4.248
0.159 -4.187 2.225
2.679 -0.524 3.880
Na Ag Ge Al
1 1 1 1
Direct
0.500 0.500 0.500
0.750 0.750 0.750
0.250 0.250 0.250
0.000 0.000 0.000
```



Record 7
# AlAgGeO4

A relaxed AlAgGeO4 crystal (PBE, Alexandria).

Properties
The calculated volume comes out at 104.05 Å³ per cell. The value obtained for the total magnetic moment is 0.00 μB/cell. As for the space-group type: I-4. The calculation puts the formation energy without anion corrections at -1.79 eV/atom.

The structure in POSCAR format:
```
AlAgGeO4
1.0
-1.574 -3.413 -3.475
4.112 1.027 -2.871
0.756 -1.656 5.055
O Ag Ge Al
4 1 1 1
Direct
0.237 0.123 0.754
0.517 0.630 0.754
0.370 0.763 0.246
0.877 0.483 0.246
0.000 0.000 0.000
0.250 0.750 0.500
0.500 0.500 0.000
```



Record 8
# Al2AgGePd

A relaxed Al2AgGePd crystal (PBE, Alexandria).

Properties
The calculated formation energy is 95 kJ/mol of formula units. The calculated volume comes out at 109.43 Å³ per cell. The value obtained for the total magnetic moment is 0.00 μB/cell. As for the space-group type: P4/mmm.

The structure in POSCAR format:
```
Al2AgGePd
1.0
4.765 0.000 0.000
0.000 4.821 0.000
0.000 0.000 4.765
Al Ge Pd Ag
2 1 1 1
Direct
0.000 0.000 0.500
0.500 0.000 0.000
0.000 0.500 0.000
0.000 0.000 0.000
0.500 0.500 0.500
```



Record 9
# AlAgGe2S6

A relaxed AlAgGe2S6 crystal (PBE, Alexandria).

Properties
The calculated volume comes out at 486.75 Å³ per cell. The value obtained for the total magnetic moment is 0.00 μB/cell. As for the space-group type: C2/c. The calculation puts the formation energy without anion corrections at -0.38 eV/atom.

The structure in POSCAR format:
```
AlAgGe2S6
1.0
6.598 0.313 0.325
2.507 8.712 0.091
2.507 -0.232 8.709
Ag Ge Al S
2 4 2 12
Direct
0.750 0.223 0.777
0.250 0.777 0.223
0.189 0.366 0.203
0.811 0.634 0.797
0.311 0.797 0.634
0.689 0.203 0.366
0.750 0.809 0.191
0.250 0.191 0.809
0.414 0.885 0.389
0.390 0.184 0.011
0.059 0.698 0.589
0.441 0.411 0.302
0.586 0.115 0.611
0.610 0.816 0.989
0.890 0.011 0.184
0.914 0.389 0.885
0.941 0.302 0.411
0.086 0.611 0.115
0.559 0.589 0.698
0.110 0.989 0.816
```



Record 10
# ScAlAg2Ge

A relaxed ScAlAg2Ge crystal (PBE, Alexandria).

Properties
The calculated formation energy is 195 kJ/mol of formula units. The calculated volume comes out at 115.17 Å³ per cell. The value obtained for the total magnetic moment is 0.00 μB/cell. As for the space-group type: P4/mmm.

The structure in POSCAR format:
```
ScAlAg2Ge
1.0
4.792 0.000 0.000
0.000 5.015 0.000
0.000 0.000 4.792
Al Sc Ge Ag
1 1 1 2
Direct
0.000 0.500 0.000
0.500 0.500 0.500
0.000 0.000 0.000
0.000 0.000 0.500
0.500 0.000 0.000
```



Record 11
# AlAg2GeSe

A relaxed AlAg2GeSe crystal (PBE, Alexandria).

Properties
The calculated volume comes out at 127.91 Å³ per cell. The value obtained for the total magnetic moment is 0.00 μB/cell. As for the space-group type: P4/mmm. The calculation puts the formation energy without anion corrections at 0.48 eV/atom.

The structure in POSCAR format:
```
AlAg2GeSe
1.0
4.911 0.000 0.000
0.000 5.304 0.000
0.000 0.000 4.911
Al Ge Ag Se
1 1 2 1
Direct
0.500 0.500 0.500
0.000 0.000 0.000
0.000 0.000 0.500
0.500 0.000 0.000
0.000 0.500 0.000
```



Record 12
# AlAgGeSe4

A relaxed AlAgGeSe4 crystal (PBE, Alexandria).

Properties
The calculated volume comes out at 188.00 Å³ per cell. The value obtained for the total magnetic moment is 0.00 μB/cell. As for the space-group type: I-4. The calculation puts the formation energy without anion corrections at -0.46 eV/atom.

The structure in POSCAR format:
```
AlAgGeSe4
1.0
6.001 0.000 0.000
0.000 6.001 0.000
-3.000 -3.000 5.221
Al Se Ge Ag
1 4 1 1
Direct
0.500 0.500 0.000
0.398 0.864 0.270
0.594 0.602 0.730
0.872 0.406 0.270
0.136 0.128 0.730
0.250 0.750 0.500
0.000 0.000 0.000
```